[1]
Computed, not measured: an optimized crystal structure of DyEr3Th3 at the PBE level of DFT.

a = 8.726 Å, b = 8.726 Å, c = 8.726 Å
α = 60.33°, β = 60.33°, γ = 60.33°
Sites, in units of the cell vectors:
1 Dy 0.145 0.145 0.145
2 Dy 0.855 0.855 0.855
3 Er 0.063 0.560 0.235
4 Er 0.235 0.063 0.560
5 Er 0.440 0.765 0.937
6 Er 0.560 0.235 0.063
7 Er 0.765 0.937 0.440
8 Er 0.937 0.440 0.765
9 Th 0.206 0.695 0.437
10 Th 0.305 0.563 0.794
11 Th 0.437 0.206 0.695
12 Th 0.563 0.794 0.305
13 Th 0.695 0.437 0.206
14 Th 0.794 0.305 0.563

* total moment: 0.0 μB/f.u.
* space group: R-3
* Fermi-level density of states: 19.76 states/eV/cell
* E_tot: -5.4787 eV per atom

---

[2]
Computed, not measured: an optimized crystal structure of Ag2I2Br at the PBE level of DFT.

a = 8.260 Å, b = 8.260 Å, c = 4.062 Å
α = 90.00°, β = 90.00°, γ = 90.00°
Sites, in units of the cell vectors:
1 Ag 0.135 0.365 0.000
2 Ag 0.365 0.865 0.000
3 Ag 0.635 0.135 0.000
4 Ag 0.865 0.635 0.000
5 I 0.160 0.660 0.500
6 I 0.340 0.160 0.500
7 I 0.660 0.840 0.500
8 I 0.840 0.340 0.500
9 Br 0.000 0.000 0.000
10 Br 0.500 0.500 0.000

* total moment: 0.0 μB/f.u.
* space group: P4/mbm
* ΔE_f (raw): 0.07 eV per atom
* Fermi-level density of states: 22.64 states/eV/cell
* E_tot: -2.0245 eV per atom

---

[3]
Computed, not measured: an optimized crystal structure of TiTeIrN2 at the PBE level of DFT.

a = 3.786 Å, b = 3.786 Å, c = 6.855 Å
α = 90.00°, β = 90.00°, γ = 90.00°
Sites, in units of the cell vectors:
1 Ti 0.000 0.000 0.000
2 Te 0.500 0.500 0.000
3 Ir 0.500 0.500 0.500
4 N 0.000 0.500 0.500
5 N 0.500 0.000 0.500

* total moment: 0.0 μB/f.u.
* space group: P4/mmm
* ΔE_f (raw): 0.80 eV per atom
* Fermi-level density of states: 6.28 states/eV/cell
* E_tot: -6.5080 eV per atom

---

[4]
Computed, not measured: an optimized crystal structure of Cs2ErTlO4 at the PBE level of DFT.

a = 6.457 Å, b = 6.457 Å, c = 9.079 Å
α = 90.00°, β = 90.00°, γ = 90.00°
Sites, in units of the cell vectors:
1 Cs 0.000 0.000 0.000
2 Cs 0.000 0.500 0.250
3 Cs 0.500 0.000 0.750
4 Cs 0.500 0.500 0.500
5 Er 0.000 0.500 0.750
6 Er 0.500 0.000 0.250
7 Tl 0.000 0.000 0.500
8 Tl 0.500 0.500 0.000
9 O 0.133 0.744 0.625
10 O 0.244 0.367 0.875
11 O 0.256 0.133 0.375
12 O 0.367 0.756 0.125
13 O 0.633 0.244 0.125
14 O 0.744 0.867 0.375
15 O 0.756 0.633 0.875
16 O 0.867 0.256 0.625

* total moment: 0.0 μB/f.u.
* space group: I-4
* ΔE_f (raw): -1.80 eV per atom
* Fermi-level density of states: 0.00 states/eV/cell
* E_tot: -5.3567 eV per atom

---

[5]
Computed, not measured: an optimized crystal structure of YTaSi at the PBE level of DFT.

a = 4.456 Å, b = 4.456 Å, c = 3.719 Å
α = 90.00°, β = 90.00°, γ = 120.00°
Sites, in units of the cell vectors:
1 Y 0.000 0.000 0.000
2 Ta 0.667 0.333 0.500
3 Si 0.333 0.667 0.500

* total moment: 0.0 μB/f.u.
* space group: P-6m2
* ΔE_f (raw): -0.02 eV per atom
* Fermi-level density of states: 3.53 states/eV/cell
* E_tot: -7.9313 eV per atom

---

[6]
Computed, not measured: an optimized crystal structure of BeCo2Sb at the PBE level of DFT.

a = 5.841 Å, b = 5.841 Å, c = 5.841 Å
α = 90.00°, β = 90.00°, γ = 90.00°
Sites, in units of the cell vectors:
1 Be 0.000 0.000 0.000
2 Be 0.000 0.500 0.500
3 Be 0.500 0.000 0.500
4 Be 0.500 0.500 0.000
5 Co 0.000 0.000 0.500
6 Co 0.000 0.500 0.000
7 Co 0.250 0.250 0.750
8 Co 0.250 0.750 0.250
9 Co 0.500 0.000 0.000
10 Co 0.500 0.500 0.500
11 Co 0.750 0.250 0.250
12 Co 0.750 0.750 0.750
13 Sb 0.250 0.250 0.250
14 Sb 0.250 0.750 0.750
15 Sb 0.750 0.250 0.750
16 Sb 0.750 0.750 0.250

* total moment: 0.7 μB/f.u.
* space group: F-43m
* ΔE_f (raw): 0.30 eV per atom
* Fermi-level density of states: 25.57 states/eV/cell
* E_tot: -5.2199 eV per atom

---

[7]
Computed, not measured: an optimized crystal structure of Tm2AlCo5Si2 at the PBE level of DFT.

a = 9.316 Å, b = 9.316 Å, c = 3.249 Å
α = 90.00°, β = 90.00°, γ = 90.00°
Sites, in units of the cell vectors:
1 Tm 0.177 0.323 0.000
2 Tm 0.323 0.823 0.000
3 Tm 0.677 0.177 0.000
4 Tm 0.823 0.677 0.000
5 Al 0.000 0.000 0.000
6 Al 0.500 0.500 0.000
7 Co 0.000 0.500 0.500
8 Co 0.065 0.785 0.500
9 Co 0.215 0.065 0.500
10 Co 0.285 0.565 0.500
11 Co 0.435 0.285 0.500
12 Co 0.500 0.000 0.500
13 Co 0.565 0.715 0.500
14 Co 0.715 0.435 0.500
15 Co 0.785 0.935 0.500
16 Co 0.935 0.215 0.500
17 Si 0.120 0.620 0.000
18 Si 0.380 0.120 0.000
19 Si 0.620 0.880 0.000
20 Si 0.880 0.380 0.000

* total moment: 0.0 μB/f.u.
* space group: P4/mbm
* ΔE_f (raw): -0.51 eV per atom
* Fermi-level density of states: 9.86 states/eV/cell
* E_tot: -6.4138 eV per atom

---

[8]
Computed, not measured: an optimized crystal structure of PuAlIr at the PBE level of DFT.

a = 4.533 Å, b = 4.533 Å, c = 3.166 Å
α = 90.00°, β = 90.00°, γ = 120.00°
Sites, in units of the cell vectors:
1 Pu 0.000 0.000 0.000
2 Al 0.333 0.667 0.500
3 Ir 0.667 0.333 0.500

* total moment: 4.8 μB/f.u.
* space group: P-6m2
* Fermi-level density of states: 8.58 states/eV/cell
* E_tot: -9.4346 eV per atom